(1)
VASP calculation (PBE) on crystalline K3Tb2CeO6 at its relaxed geometry.

Calculated values
- space-group type = C2/m (12)
- ΔE_f (raw) (meV/atom) = -2690

Structure (CIF):
```
data_K3Tb2CeO6
_chemical_formula_sum 'K3 Tb2 Ce1 O6'
_space_group_name_H-M_alt 'P 1'
_space_group_IT_number 1
_space_group_name_Hall 'P 1'
_cell_length_a 6.158
_cell_length_b 6.158
_cell_length_c 6.602
_cell_angle_alpha 98.95
_cell_angle_beta 98.95
_cell_angle_gamma 120.00
loop_
_atom_site_label
_atom_site_type_symbol
_atom_site_fract_x
_atom_site_fract_y
_atom_site_fract_z
K1 K 0.167 0.833 0.500
K2 K 0.833 0.167 0.500
K3 K 0.500 0.500 0.500
Tb1 Tb 0.333 0.667 0.000
Tb2 Tb 0.667 0.333 0.000
Ce1 Ce 0.000 0.000 0.000
O1 O 0.938 0.597 0.813
O2 O 0.722 0.722 0.187
O3 O 0.062 0.403 0.187
O4 O 0.597 0.938 0.813
O5 O 0.278 0.278 0.813
O6 O 0.403 0.062 0.187
```

(2)
VASP calculation (PBE) on crystalline BaSrRh2 at its relaxed geometry.

Calculated values
- space-group type = Imm2 (44)
- formation energy (eV per atom) = -0.0516

Structure (CIF):
```
data_BaSrRh2
_chemical_formula_sum 'Ba1 Sr1 Rh2'
_space_group_name_H-M_alt 'P 1'
_space_group_IT_number 1
_space_group_name_Hall 'P 1'
_cell_length_a 7.421
_cell_length_b 7.421
_cell_length_c 4.564
_cell_angle_alpha 72.09
_cell_angle_beta 72.09
_cell_angle_gamma 34.80
loop_
_atom_site_label
_atom_site_type_symbol
_atom_site_fract_x
_atom_site_fract_y
_atom_site_fract_z
Ba1 Ba 0.252 0.252 0.248
Rh1 Rh 0.083 0.083 0.917
Rh2 Rh 0.657 0.657 0.843
Sr1 Sr 0.508 0.508 0.492
```

(3)
VASP calculation (PBE) on crystalline PaCl3 at its relaxed geometry.

Calculated values
- space-group type = Imm2 (44)
- ΔE_f (raw) (meV/atom) = -1689

Structure (CIF):
```
data_PaCl3
_chemical_formula_sum 'Pa1 Cl3'
_space_group_name_H-M_alt 'P 1'
_space_group_IT_number 1
_space_group_name_Hall 'P 1'
_cell_length_a 3.615
_cell_length_b 6.860
_cell_length_c 6.614
_cell_angle_alpha 121.24
_cell_angle_beta 105.86
_cell_angle_gamma 90.00
loop_
_atom_site_label
_atom_site_type_symbol
_atom_site_fract_x
_atom_site_fract_y
_atom_site_fract_z
Pa1 Pa 0.000 0.045 0.000
Cl1 Cl 0.333 0.720 0.666
Cl2 Cl 0.500 0.347 0.000
Cl3 Cl 0.667 0.054 0.334
```